(w)
PBE-GGA ScSnNF2, relaxed; total magnetic moment = 1.162 μB/cell; SG = P4/mmm, No. 123
1.0
-1.5501 -3.9720 -1.0281
3.4914 -0.6997 -2.5608
2.0826 -1.6655 3.2946
F N Sc Sn
2 1 1 1
Cartesian
1.7457 -0.3499 -1.2804 F
-0.7751 -1.9860 -0.5141 F
1.0413 -0.8328 1.6473 N
2.0120 -3.1687 -0.1471 Sc
0.0000 0.0000 0.0000 Sn


(x)
PBE-GGA ScSnNF2, relaxed; total magnetic moment = 0.000 μB/cell; SG = P4/mmm, No. 123
1.0
4.0953 0.0000 0.0000
0.0000 4.0953 0.0000
0.0000 0.0000 4.3965
F Sn Sc N
2 1 1 1
Cartesian
0.0000 2.0476 0.0000 F
2.0476 0.0000 0.0000 F
2.0476 2.0476 2.1983 Sn
0.0000 0.0000 0.0000 Sc
0.0000 0.0000 2.1983 N


Least stable = (w)


(w)
PBE-GGA ScTcN2F, relaxed; total magnetic moment = 0.000 μB/cell; SG = P4/mmm, No. 123
1.0
-3.0479 1.7946 1.6814
-1.6669 -3.4763 0.6887
1.8380 -0.1826 3.5266
N Tc Sc F
2 1 1 1
Cartesian
-1.5239 0.8973 0.8407 N
-0.8335 -1.7381 0.3444 N
0.0000 0.0000 0.0000 Tc
-1.4384 -0.9321 2.9484 Sc
0.9190 -0.0913 1.7633 F


(x)
PBE-GGA ScTcN2F, relaxed; total magnetic moment = 3.138 μB/cell; SG = P4/mmm, No. 123
1.0
-4.0415 -0.2333 -1.1333
0.7205 -3.7293 -1.8015
-0.8306 -1.7671 3.3258
Tc N F Sc
1 2 1 1
Cartesian
-2.0758 -2.8648 0.1955 Tc
-2.0207 -0.1167 -0.5666 N
0.3602 -1.8647 -0.9008 N
-0.4153 -0.8835 1.6629 F
0.0000 0.0000 0.0000 Sc


Least stable = (x)


(w)
PBE-GGA ScTe2NF, relaxed; total magnetic moment = 0.251 μB/cell; SG = P4/mmm, No. 123
1.0
-3.6804 4.1173 -0.0900
-0.7227 -0.5268 5.4503
2.9400 2.6421 0.6452
N Te Sc F
1 2 1 1
Cartesian
1.4700 1.3211 0.3226 N
-1.8402 2.0586 -0.0450 Te
-0.3613 -0.2634 2.7251 Te
0.0000 0.0000 0.0000 Sc
-0.7316 3.1163 3.0027 F


(x)
PBE-GGA ScTe2NF, relaxed; total magnetic moment = 1.059 μB/cell; SG = P4/mmm, No. 123
1.0
4.8434 0.0000 0.0000
0.0000 4.8434 0.0000
0.0000 0.0000 4.1767
Te N F Sc
2 1 1 1
Cartesian
2.4217 0.0000 0.0000 Te
0.0000 2.4217 0.0000 Te
0.0000 0.0000 2.0884 N
0.0000 0.0000 0.0000 F
2.4217 2.4217 2.0884 Sc


Least stable = (x)


(w)
PBE-GGA ScTeN2F, relaxed; total magnetic moment = 0.000 μB/cell; SG = P4/mmm, No. 123
1.0
4.3164 0.0000 0.0000
0.0000 4.3164 0.0000
0.0000 0.0000 3.8863
Sc N Te F
1 2 1 1
Cartesian
0.0000 0.0000 0.0000 Sc
2.1582 0.0000 0.0000 N
0.0000 2.1582 0.0000 N
2.1582 2.1582 1.9432 Te
0.0000 0.0000 1.9432 F


(x)
PBE-GGA ScTeN2F, relaxed; total magnetic moment = 1.126 μB/cell; SG = P4/mmm, No. 123
1.0
4.2696 0.0000 0.0000
0.0000 4.2696 0.0000
0.0000 0.0000 4.0733
N Sc F Te
2 1 1 1
Cartesian
2.1348 0.0000 0.0000 N
0.0000 2.1348 0.0000 N
2.1348 2.1348 2.0366 Sc
0.0000 0.0000 0.0000 F
0.0000 0.0000 2.0366 Te


(y)
PBE-GGA ScTeN2F, relaxed; total magnetic moment = 0.890 μB/cell; SG = P4/mmm, No. 123
1.0
4.0097 0.0000 0.0000
0.0000 4.0097 0.0000
0.0000 0.0000 5.9912
F Te Sc N
1 1 1 2
Cartesian
2.0048 2.0048 2.9956 F
0.0000 0.0000 2.9956 Te
0.0000 0.0000 0.0000 Sc
2.0048 0.0000 0.0000 N
0.0000 2.0048 0.0000 N


(z)
PBE-GGA ScTeN2F, relaxed; total magnetic moment = 0.431 μB/cell; SG = P4/mmm, No. 123
1.0
-4.1413 -0.7470 -0.3329
0.6927 -2.2900 -3.4779
0.4295 -3.4238 2.3399
N Te Sc F
2 1 1 1
Cartesian
-2.0707 -0.3735 -0.1665 N
0.3463 -1.1450 -1.7389 N
0.0000 0.0000 0.0000 Te
-1.5096 -3.2304 -0.7354 Sc
0.2148 -1.7119 1.1700 F


Least stable = (x)


(w)
PBE-GGA ScTlN2F, relaxed; total magnetic moment = 0.385 μB/cell; SG = P4/mmm, No. 123
1.0
4.2561 0.0000 0.0000
0.0000 4.2561 0.0000
0.0000 0.0000 4.3044
N Tl F Sc
2 1 1 1
Cartesian
0.0000 2.1280 0.0000 N
2.1280 0.0000 0.0000 N
0.0000 0.0000 0.0000 Tl
0.0000 0.0000 2.1522 F
2.1280 2.1280 2.1522 Sc


(x)
PBE-GGA ScTlN2F, relaxed; total magnetic moment = 0.766 μB/cell; SG = P4/mmm, No. 123
1.0
4.2900 0.0000 0.0000
0.0000 4.2900 0.0000
0.0000 0.0000 4.0580
Sc Tl N F
1 1 2 1
Cartesian
0.0000 0.0000 0.0000 Sc
2.1450 2.1450 2.0290 Tl
0.0000 2.1450 0.0000 N
2.1450 0.0000 0.0000 N
0.0000 0.0000 2.0290 F


Least stable = (w)


(w)
PBE-GGA YScN2F, relaxed; total magnetic moment = 0.000 μB/cell; SG = P4/mmm, No. 123
1.0
4.1681 0.0000 0.0000
0.0000 4.1681 0.0000
0.0000 0.0000 3.9380
N Y F Sc
2 1 1 1
Cartesian
0.0000 2.0840 0.0000 N
2.0840 0.0000 0.0000 N
2.0840 2.0840 1.9690 Y
0.0000 0.0000 1.9690 F
0.0000 0.0000 0.0000 Sc


(x)
PBE-GGA YScN2F, relaxed; total magnetic moment = 0.061 μB/cell; SG = P4/mmm, No. 123
1.0
-2.3954 -2.9311 2.2731
2.6891 0.4915 3.4675
-2.3949 3.0610 1.4234
F N Sc Y
1 2 1 1
Cartesian
-1.1974 1.5305 0.7117 F
-1.1977 -1.4656 1.1365 N
1.3445 0.2457 1.7337 N
-1.0506 0.3107 3.5820 Sc
0.0000 0.0000 0.0000 Y


Least stable = (x)


(w)
PBE-GGA ScZnN2F, relaxed; total magnetic moment = 1.031 μB/cell; SG = P4/mmm, No. 123
1.0
4.2042 0.0000 0.0000
0.0000 4.2042 0.0000
0.0000 0.0000 3.9748
Zn F N Sc
1 1 2 1
Cartesian
2.1021 2.1021 1.9874 Zn
0.0000 0.0000 1.9874 F
0.0000 2.1021 0.0000 N
2.1021 0.0000 0.0000 N
0.0000 0.0000 0.0000 Sc


(x)
PBE-GGA ScZnN2F, relaxed; total magnetic moment = 0.000 μB/cell; SG = P4/mmm, No. 123
1.0
3.8190 0.0000 0.0000
0.0000 3.8190 0.0000
0.0000 0.0000 3.9250
N Sc F Zn
2 1 1 1
Cartesian
0.0000 1.9095 0.0000 N
1.9095 0.0000 0.0000 N
1.9095 1.9095 1.9625 Sc
0.0000 0.0000 1.9625 F
0.0000 0.0000 0.0000 Zn


Least stable = (w)


(w)
PBE-GGA ZrScNF2, relaxed; total magnetic moment = 1.735 μB/cell; SG = P4/mmm, No. 123
1.0
-1.2904 -0.4545 -4.0108
0.6234 -4.1827 0.2734
-4.0447 -0.5140 1.3596
Zr Sc F N
1 1 2 1
Cartesian
0.0000 0.0000 0.0000 Zr
-2.3558 -2.5756 -1.1889 Sc
0.3117 -2.0913 0.1367 F
-0.6452 -0.2272 -2.0054 F
-2.0223 -0.2570 0.6798 N


(x)
PBE-GGA ZrScNF2, relaxed; total magnetic moment = 1.898 μB/cell; SG = P4/mmm, No. 123
1.0
-3.6787 1.4139 0.1493
-0.2247 -0.1693 -3.9338
-1.5989 -4.1886 0.2716
N Zr F Sc
1 1 2 1
Cartesian
-0.7994 -2.0943 0.1358 N
-2.7511 -1.4720 -1.7565 Zr
-1.8393 0.7069 0.0747 F
-0.1124 -0.0846 -1.9669 F
0.0000 0.0000 0.0000 Sc


Least stable = (w)


(w)
PBE-GGA SeNF2, relaxed; total magnetic moment = 1.839 μB/cell; SG = I4_1/amd, No. 141
1.0
5.6781 0.0000 0.0000
0.0000 5.6781 0.0000
2.8390 2.8390 4.0340
N Se F
2 2 4
Cartesian
2.8390 5.6781 2.0170 N
2.8390 2.8390 0.0000 N
5.6781 2.8390 2.0170 Se
0.0000 0.0000 0.0000 Se
4.2585 5.6771 3.0255 F
7.0976 5.6790 3.0255 F
2.8381 4.2585 1.0085 F
2.8400 1.4195 1.0085 F


(x)
PBE-GGA SeNF2, relaxed; total magnetic moment = 2.898 μB/cell; SG = R-3m, No. 166
1.0
1.7742 0.0000 8.7170
-0.8871 1.5365 8.7170
-0.8871 -1.5365 8.7170
F N Se
2 1 1
Cartesian
0.0000 0.0000 24.3056 F
0.0000 0.0000 1.8453 F
0.0000 0.0000 13.0755 N
0.0000 0.0000 0.0000 Se


(y)
PBE-GGA SeNF2, relaxed; total magnetic moment = 0.000 μB/cell; SG = R-3m, No. 166
1.0
-7.2276 -1.9613 2.6170
-5.9613 -1.4505 5.0291
-7.0561 0.6361 3.5694
F N Se
2 1 1
Cartesian
-1.4225 -0.1950 0.7881 F
-18.8224 -2.5807 10.4275 F
0.0000 0.0000 0.0000 N
-10.1225 -1.3878 5.6078 Se


Least stable = (w)


(w)
PBE-GGA SeNF3, relaxed; total magnetic moment = 2.932 μB/cell; SG = Pm-3m, No. 221
1.0
4.2095 0.0000 0.0000
0.0000 4.2095 0.0000
0.0000 0.0000 4.2095
Se F N
1 3 1
Cartesian
0.0000 0.0000 0.0000 Se
0.0000 0.0000 2.1047 F
2.1047 0.0000 0.0000 F
0.0000 2.1047 0.0000 F
2.1047 2.1047 2.1047 N


(x)
PBE-GGA SeNF3, relaxed; total magnetic moment = 4.000 μB/cell; SG = Pm-3m, No. 221
1.0
-1.3387 3.6921 0.7481
-0.5438 -0.9750 3.8389
3.7276 1.1837 0.8286
F Se N
3 1 1
Cartesian
-0.6694 1.8460 0.3740 F
-0.2719 -0.4875 1.9194 F
1.8638 0.5919 0.4143 F
0.9226 1.9504 2.7078 Se
0.0000 0.0000 0.0000 N


Least stable = (x)


(w)
PBE-GGA SiSe2NF, relaxed; total magnetic moment = 1.896 μB/cell; SG = P4/mmm, No. 123
1.0
-1.2561 3.3978 -2.8785
1.5545 -2.4681 -3.5917
-3.6693 -1.7077 -0.4147
N Si Se F
1 1 2 1
Cartesian
-1.8347 -0.8539 -0.2073 N
-1.6854 -0.3890 -3.4424 Si
0.7773 -1.2340 -1.7959 Se
-0.6280 1.6989 -1.4392 Se
0.0000 0.0000 0.0000 F


(x)
PBE-GGA SiSe2NF, relaxed; total magnetic moment = 1.597 μB/cell; SG = P4/mmm, No. 123
1.0
-2.0132 4.4525 -1.7569
-3.0931 0.2445 4.1638
2.2541 1.6419 1.5780
Se F Si N
2 1 1 1
Cartesian
-1.5465 0.1222 2.0819 Se
-1.0066 2.2262 -0.8785 Se
-1.4261 3.1694 1.9925 F
0.0000 0.0000 0.0000 Si
1.1270 0.8209 0.7890 N


Least stable = (w)


(w)
PBE-GGA SiSeNF2, relaxed; total magnetic moment = 0.491 μB/cell; SG = P4/mmm, No. 123
1.0
4.5367 0.0000 0.0000
0.0000 4.5367 0.0000
0.0000 0.0000 3.6999
Si Se F N
1 1 2 1
Cartesian
2.2683 2.2683 1.8500 Si
0.0000 0.0000 0.0000 Se
0.0000 2.2683 0.0000 F
2.2683 0.0000 0.0000 F
0.0000 0.0000 1.8500 N


(x)
PBE-GGA SiSeNF2, relaxed; total magnetic moment = 0.000 μB/cell; SG = P4/mmm, No. 123
1.0
4.1260 0.0000 0.0000
0.0000 4.1260 0.0000
0.0000 0.0000 3.3807
Si F Se N
1 2 1 1
Cartesian
0.0000 0.0000 0.0000 Si
0.0000 2.0630 0.0000 F
2.0630 0.0000 0.0000 F
2.0630 2.0630 1.6903 Se
0.0000 0.0000 1.6903 N


Least stable = (w)


(w)
PBE-GGA SnSeNF2, relaxed; total magnetic moment = 0.000 μB/cell; SG = P4/mmm, No. 123
1.0
-3.0751 3.2321 1.4201
-2.7150 -0.9614 -3.6910
-1.7975 -2.5873 1.9962
F Sn Se N
2 1 1 1
Cartesian
-1.3575 -0.4807 -1.8455 F
-1.5376 1.6160 0.7101 F
-3.7938 -0.1583 -0.1374 Sn
0.0000 0.0000 0.0000 Se
-0.8988 -1.2937 0.9981 N


(x)
PBE-GGA SnSeNF2, relaxed; total magnetic moment = 0.660 μB/cell; SG = P4/mmm, No. 123
1.0
4.1753 0.0000 0.0000
0.0000 4.1753 0.0000
0.0000 0.0000 4.2664
N F Se Sn
1 2 1 1
Cartesian
0.0000 0.0000 2.1332 N
0.0000 2.0877 0.0000 F
2.0877 0.0000 0.0000 F
2.0877 2.0877 2.1332 Se
0.0000 0.0000 0.0000 Sn


Least stable = (w)